No. 1
Material: Rb2NbPbF6
Method: DFT, PBE
State: relaxed

Unit cell a=9.313 b=9.313 c=9.313 alpha=90.00 beta=90.00 gamma=90.00
Space group Fm-3m (No. 225)
Inequivalent atoms, fractional coordinates:
1 Rb 0.250 0.250 0.250 x8
2 Nb 0.000 0.000 0.000 x4
3 Pb 0.000 0.000 0.500 x4
4 F 0.000 0.000 0.239 x24

For the magnetization, the calculation gives 0.300 μB per atom. Its uncorrected formation energy is -23.70 eV/f.u.

***

No. 2
Material: Cd2Hg2Cl
Method: DFT, PBE
State: relaxed

Unit cell a=8.358 b=8.358 c=3.619 alpha=90.00 beta=90.00 gamma=90.00
Space group P4/mbm (No. 127)
Inequivalent atoms, fractional coordinates:
1 Cd 0.179 0.321 0.000 x4
2 Hg 0.127 0.627 0.500 x4
3 Cl 0.000 0.000 0.000 x2

For the magnetization, the calculation gives 0.000 μB per atom. As for the energy above the most stable polymorph in this dataset: 0 meV per atom. Its uncorrected formation energy is -0.89 eV/f.u.